1.
# PBE-GGA Sm7Sb2Pt2, optimized geometry
data_Sm7Sb2Pt2
_chemical_formula_sum 'Sm14 Sb4 Pt4'
_symmetry_space_group_name_H-M 'C m m m'
_symmetry_Int_Tables_number 65
_symmetry_space_group_name_Hall '-C 2 2'
_cell_length_a 8.738
_cell_length_b 11.177
_cell_length_c 7.003
_cell_angle_alpha 90.00
_cell_angle_beta 90.00
_cell_angle_gamma 90.00
loop_
_atom_site_label
_atom_site_type_symbol
_atom_site_fract_x
_atom_site_fract_y
_atom_site_fract_z
Sm1 Sm 0.000 0.000 0.000
Sm2 Sm 0.000 0.500 0.239
Sm3 Sm 0.250 0.250 0.256
Sb1 Sb 0.194 0.000 0.500
Pt1 Pt 0.000 0.277 0.000
# **Formation energy from raw total energies**: -0.688 eV/atom
# **Density of states at the Fermi level**: 18.77 states/eV/cell
# **Total energy**: -5.54 eV per atom

2.
# PBE-GGA Sm2SbPt6, optimized geometry
data_Sm2SbPt6
_chemical_formula_sum 'Sm4 Sb2 Pt12'
_symmetry_space_group_name_H-M 'C 1 2/m 1'
_symmetry_Int_Tables_number 12
_symmetry_space_group_name_Hall '-C 2y'
_cell_length_a 9.895
_cell_length_b 5.753
_cell_length_c 6.403
_cell_angle_alpha 90.00
_cell_angle_beta 103.13
_cell_angle_gamma 90.00
loop_
_atom_site_label
_atom_site_type_symbol
_atom_site_fract_x
_atom_site_fract_y
_atom_site_fract_z
Sm1 Sm 0.142 0.000 0.347
Sb1 Sb 0.000 0.500 0.500
Pt1 Pt 0.125 0.500 0.185
Pt2 Pt 0.136 0.238 0.819
# **Formation energy from raw total energies**: -0.869 eV/atom
# **Density of states at the Fermi level**: 8.67 states/eV/cell
# **Total energy**: -6.40 eV per atom

3.
# PBE-GGA Sm3SbPt, optimized geometry
data_Sm3SbPt
_chemical_formula_sum 'Sm12 Sb4 Pt4'
_symmetry_space_group_name_H-M 'C m c m'
_symmetry_Int_Tables_number 63
_symmetry_space_group_name_Hall '-C 2c 2'
_cell_length_a 4.374
_cell_length_b 12.774
_cell_length_c 10.621
_cell_angle_alpha 90.00
_cell_angle_beta 90.00
_cell_angle_gamma 90.00
loop_
_atom_site_label
_atom_site_type_symbol
_atom_site_fract_x
_atom_site_fract_y
_atom_site_fract_z
Sm1 Sm 0.000 0.074 0.250
Sm2 Sm 0.000 0.358 0.049
Sb1 Sb 0.000 0.238 0.750
Pt1 Pt 0.000 0.000 0.000
# **Formation energy from raw total energies**: -0.905 eV/atom
# **Density of states at the Fermi level**: 16.77 states/eV/cell
# **Total energy**: -5.77 eV per atom